A plane-wave DFT calculation with GGA+U was carried out for an optimized crystal structure of MnAgN2O.

a b c (Å): 3.5821 3.5821 4.2212
angles (deg): 90.00 90.00 90.00
Closest atoms and distances in Å follow each position.
Fractional coordinates of all 5 atoms:
Mn: 0.0000 0.0000 0.0000  4 N 1.79
Ag: 0.5000 0.5000 0.5000  4 O 2.53, 8 N 2.77
N: 0.0000 0.5000 0.0000  2 Mn 1.79
N: 0.5000 0.0000 0.0000  2 Mn 1.79
O: 0.0000 0.0000 0.5000  2 Mn 2.11

Space group: No. 123
E in eV/atom: -5.24